# 1
Here is a relaxed CsNp4Pd3Se12 crystal from the Alexandria database. Energies are from GGA-PBE.

a = 8.910 Å, b = 8.910 Å, c = 8.910 Å
α = 109.47°, β = 109.47°, γ = 109.47°
Sites, in units of the cell vectors:
Cs: 0.000 0.000 0.000
Np: 0.000 0.000 0.500
Np: 0.000 0.500 0.000
Np: 0.500 0.000 0.000
Np: 0.500 0.500 0.500
Pd: 0.000 0.500 0.500
Pd: 0.500 0.000 0.500
Pd: 0.500 0.500 0.000
Se: 0.156 0.322 0.834
Se: 0.166 0.488 0.322
Se: 0.166 0.844 0.678
Se: 0.322 0.166 0.488
Se: 0.322 0.834 0.156
Se: 0.488 0.322 0.166
Se: 0.512 0.678 0.834
Se: 0.678 0.166 0.844
Se: 0.678 0.834 0.512
Se: 0.834 0.156 0.322
Se: 0.834 0.512 0.678
Se: 0.844 0.678 0.166

Total magnetization ... 11.0 μB/cell
Formation energy (no corrections) ... -16.1 kcal/mol of atoms

# 2
Here is a relaxed Rb2BiI6O crystal from the Alexandria database. Energies are from GGA-PBE.

a = 8.394 Å, b = 8.394 Å, c = 8.394 Å
α = 112.28°, β = 112.28°, γ = 103.99°
Sites, in units of the cell vectors:
Rb: 0.250 0.750 0.500
Rb: 0.750 0.250 0.500
Bi: 0.000 0.000 0.000
I: 0.232 0.232 0.465
I: 0.232 0.768 0.000
I: 0.296 0.296 0.000
I: 0.704 0.704 0.000
I: 0.768 0.232 0.000
I: 0.768 0.768 0.535
O: 0.500 0.500 0.000

Total magnetization ... 1.0 μB/cell
Formation energy (no corrections) ... -13.7 kcal/mol of atoms

# 3
Here is a relaxed Co4Sb crystal from the Alexandria database. Energies are from GGA-PBE.

a = 6.092 Å, b = 6.092 Å, c = 6.092 Å
α = 146.21°, β = 146.21°, γ = 48.53°
Sites, in units of the cell vectors:
Co: 0.108 0.108 0.000
Co: 0.250 0.750 0.500
Co: 0.750 0.250 0.500
Co: 0.892 0.892 0.000
Sb: 0.500 0.500 0.000

Polymorph energy (0 for the lowest one) ... 0.000 eV/atom
Total magnetization ... 6.1 μB/cell
Formation energy (no corrections) ... 7.3 kcal/mol of atoms

# 4
Here is a relaxed Mg3Hg2Pd2 crystal from the Alexandria database. Energies are from GGA-PBE.

a = 3.840 Å, b = 5.003 Å, c = 7.839 Å
α = 93.14°, β = 90.11°, γ = 112.39°
Sites, in units of the cell vectors:
Mg: 0.000 0.000 0.000
Mg: 0.358 0.716 0.409
Mg: 0.642 0.284 0.591
Hg: 0.275 0.549 0.838
Hg: 0.725 0.451 0.162
Pd: 0.056 0.115 0.340
Pd: 0.944 0.885 0.660

E_form ... -2.6 eV per formula unit
Total magnetization ... 0.0 μB/cell

# 5
Here is a relaxed Pa2TaIrN5 crystal from the Alexandria database. Energies are from GGA-PBE.

a = 6.659 Å, b = 6.659 Å, c = 10.377 Å
α = 90.00°, β = 90.00°, γ = 151.06°
Sites, in units of the cell vectors:
Pa: 0.101 0.899 0.500
Pa: 0.145 0.855 0.123
Pa: 0.855 0.145 0.623
Pa: 0.899 0.101 0.000
Ta: 0.203 0.797 0.832
Ta: 0.797 0.203 0.332
Ir: 0.472 0.528 0.267
Ir: 0.528 0.472 0.767
N: 0.056 0.944 0.900
N: 0.277 0.723 0.472
N: 0.318 0.682 0.189
N: 0.366 0.634 0.812
N: 0.484 0.516 0.581
N: 0.516 0.484 0.081
N: 0.634 0.366 0.312
N: 0.682 0.318 0.689
N: 0.723 0.277 0.972
N: 0.944 0.056 0.400

Total magnetization ... 0.0 μB/cell
Formation energy (no corrections) ... -23.6 kcal/mol of atoms

# 6
Here is a relaxed ScTcOs2 crystal from the Alexandria database. Energies are from GGA-PBE.

a = 5.372 Å, b = 5.372 Å, c = 4.759 Å
α = 116.02°, β = 116.02°, γ = 30.60°
Sites, in units of the cell vectors:
Sc: 0.000 0.000 0.000
Tc: 0.227 0.227 0.857
Os: 0.496 0.496 0.468
Os: 0.768 0.768 0.406

Polymorph energy (0 for the lowest one) ... 0.000 eV/atom
E_form ... -0.3 eV per formula unit
Total magnetization ... 0.0 μB/cell

# 7
Here is a relaxed RbTiB2Rh crystal from the Alexandria database. Energies are from GGA-PBE.

a = 4.148 Å, b = 4.148 Å, c = 5.551 Å
α = 90.00°, β = 90.00°, γ = 90.00°
Sites, in units of the cell vectors:
Rb: 0.000 0.000 0.000
Ti: 0.500 0.500 0.000
B: 0.000 0.500 0.500
B: 0.500 0.000 0.500
Rh: 0.000 0.000 0.500

E_form ... 8.1 eV per formula unit
Total magnetization ... 0.1 μB/cell

# 8
Here is a relaxed SnSb2N2 crystal from the Alexandria database. Energies are from GGA-PBE.

a = 3.101 Å, b = 3.206 Å, c = 15.085 Å
α = 90.07°, β = 94.46°, γ = 90.58°
Sites, in units of the cell vectors:
Sn: 0.000 0.000 0.000
Sb: 0.068 0.502 0.185
Sb: 0.932 0.498 0.815
N: 0.019 0.000 0.537
N: 0.981 0.000 0.463

Total magnetization ... 0.0 μB/cell
Formation energy (no corrections) ... 3.0 kcal/mol of atoms

Q: Which formula does entry 6 have?
A: ScTcOs2

Q: Which value of total magnetization does entry 7 give?
A: 0.1 μB/cell

Q: What is the total magnetization in the fifth record?
A: 0.0 μB/cell